First-principles (PBE) data for a relaxed structure of Sc2CoHg, as listed in the Alexandria database.

Properties
- raw total energy (eV/f.u.) = -21.68
- volume (Å³ per atom) = 18.48
- space-group type = P4/mmm, No. 123
- calculated formation energy (meV per atom) = -403

Cell lengths 3.220, 3.220, 7.128 Å; angles 90.00, 90.00, 90.00 degrees
Each line ends with the local moment (μB).
Atoms (fractional coordinates):
Sc 0.000 0.000 0.036  -0.08
Sc 0.000 0.000 0.464  -0.08
Co 0.500 0.500 0.250  0.59
Hg 0.500 0.500 0.750  0.00